PBE+U TlVIO2, relaxed; ρ = 5.8 g/cm3; calculated total energy = -19.3 eV for the cell shown; V = 118.3 Å³ per cell; energy above the lowest structure with this stoichiometry = 990 meV per atom
1.0
-3.9045 -1.5477 -0.5641
1.1404 -1.4924 -3.7988
1.8483 -5.6780 2.7854
I Tl O V
1 1 2 1
Direct
0.0000 0.0000 0.5000 I
0.0000 0.0000 0.0000 Tl
0.0000 0.5000 0.0000 O
0.5000 0.0000 0.0000 O
0.5000 0.5000 0.5000 V